Record 1
Entry from Alexandria: a relaxed structure of Hf4Re3Pt (GGA-PBE).

The volume is 17.69 A^3/atom. Its density of states at the Fermi level is 0.69 states/eV/atom. As for the calculated formation energy: -563 meV per atom. For the total energy, the calculation gives -10.963 eV per atom. The magnetization is 0.0 μB per cell. The symmetry is No. 47.

Cell lengths 3.2983, 4.6445, 9.2386 Å; angles 90.00, 90.00, 90.00 degrees
Atoms (fractional coordinates):
1 Hf 0.0000 0.0000 0.0000
2 Hf 0.0000 0.0000 0.5000
3 Hf 0.0000 0.5000 0.2438
4 Hf 0.0000 0.5000 0.7562
5 Re 0.5000 0.0000 0.2538
6 Re 0.5000 0.0000 0.7462
7 Re 0.5000 0.5000 0.0000
8 Pt 0.5000 0.5000 0.5000

Record 2
Entry from Alexandria: a relaxed structure of Ag5H12Rh3 (GGA-PBE).

The volume is 8.71 A^3/atom. Its density of states at the Fermi level is 0.12 states/eV/atom. For the total energy, the calculation gives -3.602 eV per atom. The magnetization is 0.0 μB per cell. The symmetry is No. 230.

Cell lengths 9.6744, 9.6744, 9.6744 Å; angles 109.47, 109.47, 109.47 degrees
Atoms (fractional coordinates):
1 Ag 0.0000 0.0000 0.0000
2 Ag 0.0000 0.0000 0.5000
3 Ag 0.0000 0.5000 0.0000
4 Ag 0.0000 0.5000 0.5000
5 Ag 0.1250 0.7500 0.8750
6 Ag 0.1250 0.8750 0.2500
7 Ag 0.2500 0.1250 0.8750
8 Ag 0.2500 0.6250 0.3750
9 Ag 0.3750 0.2500 0.6250
10 Ag 0.3750 0.6250 0.7500
11 Ag 0.5000 0.0000 0.0000
12 Ag 0.5000 0.0000 0.5000
13 Ag 0.5000 0.5000 0.0000
14 Ag 0.5000 0.5000 0.5000
15 Ag 0.6250 0.3750 0.2500
16 Ag 0.6250 0.7500 0.3750
17 Ag 0.7500 0.3750 0.6250
18 Ag 0.7500 0.8750 0.1250
19 Ag 0.8750 0.1250 0.7500
20 Ag 0.8750 0.2500 0.1250
21 H 0.0720 0.6556 0.4085
22 H 0.0720 0.9164 0.6635
23 H 0.0836 0.2471 0.1556
24 H 0.0836 0.3365 0.9280
25 H 0.0915 0.7471 0.6635
26 H 0.0915 0.8444 0.4280
27 H 0.1556 0.0836 0.2471
28 H 0.1556 0.5720 0.9085
29 H 0.1635 0.2471 0.5915
30 H 0.1635 0.4164 0.5720
31 H 0.2471 0.1556 0.0836
32 H 0.2471 0.5915 0.1635
33 H 0.2529 0.3365 0.9085
34 H 0.2529 0.4164 0.3444
35 H 0.3365 0.9085 0.2529
36 H 0.3365 0.9280 0.0836
37 H 0.3444 0.2529 0.4164
38 H 0.3444 0.5915 0.9280
39 H 0.4085 0.0720 0.6556
40 H 0.4085 0.8365 0.7529
41 H 0.4164 0.3444 0.2529
42 H 0.4164 0.5720 0.1635
43 H 0.4280 0.0915 0.8444
44 H 0.4280 0.8365 0.5836
45 H 0.5720 0.1635 0.4164
46 H 0.5720 0.9085 0.1556
47 H 0.5836 0.4280 0.8365
48 H 0.5836 0.6556 0.7471
49 H 0.5915 0.1635 0.2471
50 H 0.5915 0.9280 0.3444
51 H 0.6556 0.4085 0.0720
52 H 0.6556 0.7471 0.5836
53 H 0.6635 0.0720 0.9164
54 H 0.6635 0.0915 0.7471
55 H 0.7471 0.5836 0.6556
56 H 0.7471 0.6635 0.0915
57 H 0.7529 0.4085 0.8365
58 H 0.7529 0.8444 0.9164
59 H 0.8365 0.5836 0.4280
60 H 0.8365 0.7529 0.4085
61 H 0.8444 0.4280 0.0915
62 H 0.8444 0.9164 0.7529
63 H 0.9085 0.1556 0.5720
64 H 0.9085 0.2529 0.3365
65 H 0.9164 0.6635 0.0720
66 H 0.9164 0.7529 0.8444
67 H 0.9280 0.0836 0.3365
68 H 0.9280 0.3444 0.5915
69 Rh 0.1250 0.2500 0.3750
70 Rh 0.1250 0.3750 0.7500
71 Rh 0.2500 0.3750 0.1250
72 Rh 0.2500 0.8750 0.6250
73 Rh 0.3750 0.1250 0.2500
74 Rh 0.3750 0.7500 0.1250
75 Rh 0.6250 0.2500 0.8750
76 Rh 0.6250 0.8750 0.7500
77 Rh 0.7500 0.1250 0.3750
78 Rh 0.7500 0.6250 0.8750
79 Rh 0.8750 0.6250 0.2500
80 Rh 0.8750 0.7500 0.6250

Record 3
Entry from Alexandria: a relaxed structure of FeCo2H (GGA-PBE).

The value obtained for the energy above the most stable polymorph in this dataset is 0.522 eV per atom. The volume is 9.71 A^3/atom. Its density of states at the Fermi level is 1.09 states/eV/atom. For the total energy, the calculation gives -5.975 eV per atom. The magnetization is 5.0 μB per cell. The symmetry is No. 225.

Cell lengths 3.8006, 3.8006, 3.8006 Å; angles 60.00, 60.00, 60.00 degrees
Atoms (fractional coordinates):
1 Fe 0.0000 0.0000 0.0000
2 Co 0.2500 0.2500 0.2500
3 Co 0.7500 0.7500 0.7500
4 H 0.5000 0.5000 0.5000

Record 4
Entry from Alexandria: a relaxed structure of Tb5Ir2Rh2 (GGA-PBE).

The volume is 22.67 A^3/atom. Its density of states at the Fermi level is 0.40 states/eV/atom. As for the calculated formation energy: -762 meV per atom. For the total energy, the calculation gives -6.937 eV per atom. The magnetization is 0.0 μB per cell. The symmetry is No. 64.

Cell lengths 8.2486, 8.2486, 7.4112 Å; angles 90.00, 90.00, 54.02 degrees
Atoms (fractional coordinates):
1 Tb 0.0000 0.0000 0.0000
2 Tb 0.0324 0.6861 0.6652
3 Tb 0.1861 0.5324 0.1652
4 Tb 0.3139 0.9676 0.6652
5 Tb 0.4676 0.8139 0.1652
6 Tb 0.5000 0.5000 0.5000
7 Tb 0.5324 0.1861 0.8348
8 Tb 0.6861 0.0324 0.3348
9 Tb 0.8139 0.4676 0.8348
10 Tb 0.9676 0.3139 0.3348
11 Ir 0.1999 0.1999 0.0000
12 Ir 0.3001 0.3001 0.5000
13 Ir 0.6999 0.6999 0.5000
14 Ir 0.8001 0.8001 0.0000
15 Rh 0.1292 0.8708 0.3724
16 Rh 0.3708 0.6292 0.8724
17 Rh 0.6292 0.3708 0.1276
18 Rh 0.8708 0.1292 0.6276

Record 5
Entry from Alexandria: a relaxed structure of CuRe3 (GGA-PBE).

The volume is 14.70 A^3/atom. Its density of states at the Fermi level is 0.87 states/eV/atom. As for the calculated formation energy: 360 meV per atom. For the total energy, the calculation gives -10.000 eV per atom. The magnetization is 0.0 μB per cell. The symmetry is No. 65.

Cell lengths 2.6627, 2.6627, 9.0053 Å; angles 90.00, 90.00, 112.90 degrees
Atoms (fractional coordinates):
1 Cu 0.0000 0.0000 0.0000
2 Re 0.0000 0.0000 0.5000
3 Re 0.5000 0.5000 0.2484
4 Re 0.5000 0.5000 0.7516

Record 6
Entry from Alexandria: a relaxed structure of AsPAu2 (GGA-PBE).

The value obtained for the energy above the most stable polymorph in this dataset is 0.260 eV per atom. The volume is 18.12 A^3/atom. Its density of states at the Fermi level is 0.22 states/eV/atom. As for the calculated formation energy: 382 meV per atom. For the total energy, the calculation gives -3.772 eV per atom. The magnetization is 0.0 μB per cell. The symmetry is No. 123.

Cell lengths 2.8112, 2.8112, 9.1727 Å; angles 90.00, 90.00, 90.00 degrees
Atoms (fractional coordinates):
1 As 0.0000 0.0000 0.0000
2 P 0.0000 0.0000 0.5000
3 Au 0.5000 0.5000 0.2610
4 Au 0.5000 0.5000 0.7390

Record 7
Entry from Alexandria: a relaxed structure of YInTeBr2 (GGA-PBE).

The volume is 37.37 A^3/atom. The value obtained for the energy relative to the elements, uncorrected is -1125 meV per atom. For the total energy, the calculation gives -4.263 eV per atom. The magnetization is 0.0 μB per cell. The symmetry is No. 123.

Cell lengths 5.5731, 5.5731, 6.0150 Å; angles 90.00, 90.00, 90.00 degrees
Atoms (fractional coordinates):
1 Y 0.0000 0.0000 0.0000
2 In 0.5000 0.5000 0.5000
3 Te 0.0000 0.0000 0.5000
4 Br 0.0000 0.5000 0.0000
5 Br 0.5000 0.0000 0.0000

Record 8
Entry from Alexandria: a relaxed structure of K2SbBr (GGA-PBE).

The value obtained for the energy above the most stable polymorph in this dataset is 0.204 eV per atom. The volume is 37.79 A^3/atom. Its density of states at the Fermi level is 0.66 states/eV/atom. The value obtained for the energy relative to the elements, uncorrected is -704 meV per atom. For the total energy, the calculation gives -2.702 eV per atom. The magnetization is 1.2 μB per cell. The symmetry is No. 8.

Cell lengths 7.1067, 7.1067, 6.0552 Å; angles 90.04, 90.04, 29.62 degrees
Atoms (fractional coordinates):
1 K 0.0000 0.0000 0.0000
2 K 0.2112 0.2112 0.5018
3 Sb 0.4680 0.4680 0.4999
4 Br 0.7039 0.7039 0.0007